1.
First-principles (GGA-PBE) data for Dy4InAgRh2 after structural relaxation, as listed in Alexandria.

The value obtained for the volume is 22.56 Å³ per atom. Its formation energy from the elements is -13.247 kcal/mol of atoms. For the calculated density, the calculation gives 9.92 g/cm³.

The space group is R-3m (No. 166, hexagonal axes) and the conventional cell measures 5.0298, 5.0298 and 24.7121 Å, with angles of 90.00, 90.00 and 120.00 degrees. The asymmetric unit holds Dy at (0.0000, 0.0000, 0.1217), Dy at (0.0000, 0.0000, 0.3723), In at (0.0000, 0.0000, 0.5000), Ag at (0.0000, 0.0000, 0.0000) and Rh at (0.0000, 0.0000, 0.2481).


2.
First-principles (GGA-PBE) data for DyInAgRh after structural relaxation, as listed in Alexandria.

The value obtained for the volume is 19.89 Å³ per atom. Its formation energy from the elements is -10.897 kcal/mol of atoms. For the calculated density, the calculation gives 10.19 g/cm³.

The space group is F-43m (No. 216) and the conventional cell measures 6.827, 6.827 and 6.827 Å, with angles of 90.00, 90.00 and 90.00 degrees. The asymmetric unit holds Dy at (0.000, 0.000, 0.000), In at (0.000, 0.000, 0.500), Ag at (0.250, 0.250, 0.750) and Rh at (0.250, 0.250, 0.250).


3.
First-principles (GGA-PBE) data for DyInAgRu after structural relaxation, as listed in Alexandria.

The value obtained for the volume is 19.77 Å³ per atom. Its formation energy from the elements is -4.354 kcal/mol of atoms. For the calculated density, the calculation gives 10.21 g/cm³.

The space group is F-43m (No. 216) and the conventional cell measures 6.813, 6.813 and 6.813 Å, with angles of 90.00, 90.00 and 90.00 degrees. The asymmetric unit holds Dy at (0.000, 0.000, 0.000), In at (0.000, 0.000, 0.500), Ag at (0.250, 0.250, 0.750) and Ru at (0.250, 0.250, 0.250).